Below is MnBeSb2 at its PBEsol-relaxed geometry, with properties calculated at the SCAN level.

a b c (Å): 3.047 3.047 7.674
angles (deg): 90.00 90.00 90.00
Atoms (fractional coordinates):
Mn 0.000 0.000 0.000
Be 0.500 0.500 0.890
Sb 0.000 0.000 0.651
Sb 0.500 0.500 0.219

Summary:
Its volume is 17.81 Å³ per atom. For the raw formation energy, the calculation gives 0.83 eV/f.u. Its space group is P4mm (99).

---

Below is BaSe2O5 at its PBEsol-relaxed geometry, with properties calculated at the SCAN level.

a b c (Å): 4.517 11.675 9.731
angles (deg): 90.00 91.90 90.00
Atoms (fractional coordinates):
Ba 0.245 0.168 0.462
Ba 0.245 0.332 0.962
Ba 0.755 0.668 0.038
Ba 0.755 0.832 0.538
Se 0.192 0.609 0.741
Se 0.192 0.891 0.241
Se 0.264 0.579 0.357
Se 0.264 0.921 0.857
Se 0.736 0.079 0.143
Se 0.736 0.421 0.643
Se 0.808 0.109 0.759
Se 0.808 0.391 0.259
O 0.132 0.035 0.154
O 0.132 0.465 0.654
O 0.163 0.156 0.759
O 0.163 0.344 0.259
O 0.233 0.689 0.468
O 0.233 0.811 0.968
O 0.246 0.560 0.904
O 0.246 0.940 0.404
O 0.282 0.643 0.202
O 0.282 0.857 0.702
O 0.718 0.143 0.298
O 0.718 0.357 0.798
O 0.754 0.060 0.596
O 0.754 0.440 0.096
O 0.767 0.189 0.032
O 0.767 0.311 0.532
O 0.837 0.656 0.741
O 0.837 0.844 0.241
O 0.868 0.535 0.346
O 0.868 0.965 0.846

Summary:
Its volume is 16.03 Å³ per atom. For the raw formation energy, the calculation gives -13.10 eV/f.u. Its space group is P2_1/c (14).

---

Below is Rb3Hg20 at its PBEsol-relaxed geometry, with properties calculated at the SCAN level.

a b c (Å): 10.815 10.815 10.815
angles (deg): 90.00 90.00 90.00
Atoms (fractional coordinates):
Rb 0.000 0.250 0.500
Rb 0.000 0.750 0.500
Rb 0.250 0.500 0.000
Rb 0.500 0.000 0.250
Rb 0.500 0.000 0.750
Rb 0.750 0.500 0.000
Hg 0.000 0.000 0.000
Hg 0.000 0.257 0.135
Hg 0.000 0.257 0.865
Hg 0.000 0.500 0.250
Hg 0.000 0.500 0.750
Hg 0.000 0.743 0.135
Hg 0.000 0.743 0.865
Hg 0.135 0.000 0.257
Hg 0.135 0.000 0.743
Hg 0.243 0.500 0.365
Hg 0.243 0.500 0.635
Hg 0.250 0.000 0.500
Hg 0.250 0.250 0.250
Hg 0.250 0.250 0.750
Hg 0.250 0.750 0.250
Hg 0.250 0.750 0.750
Hg 0.257 0.135 0.000
Hg 0.257 0.865 0.000
Hg 0.365 0.243 0.500
Hg 0.365 0.757 0.500
Hg 0.500 0.250 0.000
Hg 0.500 0.365 0.243
Hg 0.500 0.365 0.757
Hg 0.500 0.500 0.500
Hg 0.500 0.635 0.243
Hg 0.500 0.635 0.757
Hg 0.500 0.750 0.000
Hg 0.635 0.243 0.500
Hg 0.635 0.757 0.500
Hg 0.743 0.135 0.000
Hg 0.743 0.865 0.000
Hg 0.750 0.000 0.500
Hg 0.750 0.250 0.250
Hg 0.750 0.250 0.750
Hg 0.750 0.750 0.250
Hg 0.750 0.750 0.750
Hg 0.757 0.500 0.365
Hg 0.757 0.500 0.635
Hg 0.865 0.000 0.257
Hg 0.865 0.000 0.743

Summary:
Its volume is 27.50 Å³ per atom. For the formation energy, the calculation gives -171 meV/atom. Its space group is Pm-3n (223).

---

Number 1: N(E_F) 0.386 states/eV/atom, electronic total energy -24.076 eV/atom. Number 2: N(E_F) 0.000 states/eV/atom, electronic total energy -15.496 eV/atom. Number 3: N(E_F) 0.351 states/eV/atom, electronic total energy -62.151 eV/atom.